Record 1
The following is a DFT calculation (PBE) of crystalline SnPb3Au3 at its relaxed geometry.

CIF file:
```
data_SnPb3Au3
_symmetry_space_group_name_H-M 'C 1 2/m 1'
_symmetry_Int_Tables_number 12
_cell_length_a 7.574
_cell_length_b 13.056
_cell_length_c 7.703
_cell_angle_alpha 90.00
_cell_angle_beta 102.12
_cell_angle_gamma 90.00
loop_
_symmetry_equiv_pos_as_xyz
'x,y,z'
'-x,-y,-z'
'-x,y,-z'
'x,-y,z'
'x+1/2,y+1/2,z'
'-x+1/2,-y+1/2,-z'
'-x+1/2,y+1/2,-z'
'x+1/2,-y+1/2,z'
loop_
_atom_site_label
_atom_site_type_symbol
_atom_site_fract_x
_atom_site_fract_y
_atom_site_fract_z
Sn1 Sn 0.228 0.000 0.006
Pb1 Pb 0.000 0.206 0.500
Pb2 Pb 0.000 0.269 0.000
Pb3 Pb 0.134 0.500 0.366
Au1 Au 0.026 0.000 0.314
Au2 Au 0.214 0.347 0.739
```

Calculated values
Energy relative to the lowest polymorph listed for this composition = 13.7 meV/atom
Formation energy = -55 meV/atom



Record 2
The following is a DFT calculation (PBE) of crystalline Sn2Pb2Au at its relaxed geometry.

CIF file:
```
data_Sn2Pb2Au
_symmetry_space_group_name_H-M 'C 1 2/c 1'
_symmetry_Int_Tables_number 15
_cell_length_a 12.440
_cell_length_b 6.656
_cell_length_c 6.800
_cell_angle_alpha 90.00
_cell_angle_beta 93.91
_cell_angle_gamma 90.00
loop_
_symmetry_equiv_pos_as_xyz
'x,y,z'
'-x,-y,-z'
'-x,y,-z+1/2'
'x,-y,z+1/2'
'x+1/2,y+1/2,z'
'-x+1/2,-y+1/2,-z'
'-x+1/2,y+1/2,-z+1/2'
'x+1/2,-y+1/2,z+1/2'
loop_
_atom_site_label
_atom_site_type_symbol
_atom_site_fract_x
_atom_site_fract_y
_atom_site_fract_z
Sn1 Sn 0.132 0.085 0.082
Pb1 Pb 0.130 0.417 0.433
Au1 Au 0.000 0.219 0.750
```

Calculated values
Energy relative to the lowest polymorph listed for this composition = 0.0 meV/atom
Formation energy = -46 meV/atom



Record 3
The following is a DFT calculation (PBE) of crystalline Sn2Pb3Au at its relaxed geometry.

CIF file:
```
data_Sn2Pb3Au
_symmetry_space_group_name_H-M 'C 1 2/c 1'
_symmetry_Int_Tables_number 15
_cell_length_a 9.863
_cell_length_b 7.200
_cell_length_c 10.574
_cell_angle_alpha 90.00
_cell_angle_beta 114.05
_cell_angle_gamma 90.00
loop_
_symmetry_equiv_pos_as_xyz
'x,y,z'
'-x,-y,-z'
'-x,y,-z+1/2'
'x,-y,z+1/2'
'x+1/2,y+1/2,z'
'-x+1/2,-y+1/2,-z'
'-x+1/2,y+1/2,-z+1/2'
'x+1/2,-y+1/2,z+1/2'
loop_
_atom_site_label
_atom_site_type_symbol
_atom_site_fract_x
_atom_site_fract_y
_atom_site_fract_z
Sn1 Sn 0.122 0.129 0.099
Pb1 Pb 0.000 0.235 0.750
Pb2 Pb 0.187 0.432 0.562
Au1 Au 0.000 0.347 0.250
```

Calculated values
Formation energy = 16 meV/atom



Record 4
The following is a DFT calculation (PBE) of crystalline SnPb2Au6 at its relaxed geometry.

CIF file:
```
data_SnPb2Au6
_symmetry_space_group_name_H-M 'C 1 2/m 1'
_symmetry_Int_Tables_number 12
_cell_length_a 10.372
_cell_length_b 6.054
_cell_length_c 6.441
_cell_angle_alpha 90.00
_cell_angle_beta 93.97
_cell_angle_gamma 90.00
loop_
_symmetry_equiv_pos_as_xyz
'x,y,z'
'-x,-y,-z'
'-x,y,-z'
'x,-y,z'
'x+1/2,y+1/2,z'
'-x+1/2,-y+1/2,-z'
'-x+1/2,y+1/2,-z'
'x+1/2,-y+1/2,z'
loop_
_atom_site_label
_atom_site_type_symbol
_atom_site_fract_x
_atom_site_fract_y
_atom_site_fract_z
Sn1 Sn 0.000 0.000 0.000
Pb1 Pb 0.165 0.500 0.143
Au1 Au 0.087 0.266 0.683
Au2 Au 0.178 0.000 0.352
```

Calculated values
Formation energy = -45 meV/atom



Record 5
The following is a DFT calculation (PBE) of crystalline SnPbAu4 at its relaxed geometry.

CIF file:
```
data_SnPbAu4
_symmetry_space_group_name_H-M 'C 1 2/c 1'
_symmetry_Int_Tables_number 15
_cell_length_a 15.417
_cell_length_b 6.600
_cell_length_c 5.394
_cell_angle_alpha 90.00
_cell_angle_beta 104.92
_cell_angle_gamma 90.00
loop_
_symmetry_equiv_pos_as_xyz
'x,y,z'
'-x,-y,-z'
'-x,y,-z+1/2'
'x,-y,z+1/2'
'x+1/2,y+1/2,z'
'-x+1/2,-y+1/2,-z'
'-x+1/2,y+1/2,-z+1/2'
'x+1/2,-y+1/2,z+1/2'
loop_
_atom_site_label
_atom_site_type_symbol
_atom_site_fract_x
_atom_site_fract_y
_atom_site_fract_z
Sn1 Sn 0.250 0.250 0.000
Pb1 Pb 0.000 0.153 0.750
Au1 Au 0.102 0.470 0.134
Au2 Au 0.163 0.132 0.463
```

Calculated values
Energy relative to the lowest polymorph listed for this composition = 9.8 meV/atom
Formation energy = -38 meV/atom



Record 6
The following is a DFT calculation (PBE) of crystalline SnPb3Au2 at its relaxed geometry.

CIF file:
```
data_SnPb3Au2
_symmetry_space_group_name_H-M 'C 1 2/m 1'
_symmetry_Int_Tables_number 12
_cell_length_a 16.312
_cell_length_b 4.381
_cell_length_c 11.085
_cell_angle_alpha 90.00
_cell_angle_beta 123.09
_cell_angle_gamma 90.00
loop_
_symmetry_equiv_pos_as_xyz
'x,y,z'
'-x,-y,-z'
'-x,y,-z'
'x,-y,z'
'x+1/2,y+1/2,z'
'-x+1/2,-y+1/2,-z'
'-x+1/2,y+1/2,-z'
'x+1/2,-y+1/2,z'
loop_
_atom_site_label
_atom_site_type_symbol
_atom_site_fract_x
_atom_site_fract_y
_atom_site_fract_z
Sn1 Sn 0.112 0.000 0.218
Pb1 Pb 0.043 0.500 0.729
Pb2 Pb 0.118 0.000 0.542
Pb3 Pb 0.235 0.500 0.112
Au1 Au 0.093 0.000 0.947
Au2 Au 0.181 0.500 0.407
```

Calculated values
Formation energy = -70 meV/atom



Record 7
The following is a DFT calculation (PBE) of crystalline Sn12PbAu4 at its relaxed geometry.

CIF file:
```
data_Sn12PbAu4
_symmetry_space_group_name_H-M 'I m -3'
_symmetry_Int_Tables_number 204
_symmetry_space_group_name_Hall '-I 2 2 3'
_cell_length_a 9.747
_cell_length_b 9.747
_cell_length_c 9.747
_cell_angle_alpha 90.00
_cell_angle_beta 90.00
_cell_angle_gamma 90.00
loop_
_atom_site_label
_atom_site_type_symbol
_atom_site_fract_x
_atom_site_fract_y
_atom_site_fract_z
Sn1 Sn 0.000 0.345 0.153
Pb1 Pb 0.000 0.000 0.000
Au1 Au 0.250 0.250 0.250
```

Calculated values
Formation energy = -63 meV/atom



Record 8
The following is a DFT calculation (PBE) of crystalline Sr2SnPbAu6 at its relaxed geometry.

CIF file:
```
data_Sr2SnPbAu6
_symmetry_space_group_name_H-M 'F m -3 m'
_symmetry_Int_Tables_number 225
_symmetry_space_group_name_Hall '-F 4 2 3'
_cell_length_a 10.664
_cell_length_b 10.664
_cell_length_c 10.664
_cell_angle_alpha 90.00
_cell_angle_beta 90.00
_cell_angle_gamma 90.00
loop_
_atom_site_label
_atom_site_type_symbol
_atom_site_fract_x
_atom_site_fract_y
_atom_site_fract_z
Sr1 Sr 0.250 0.250 0.250
Sn1 Sn 0.000 0.000 0.000
Pb1 Pb 0.000 0.000 0.500
Au1 Au 0.000 0.000 0.246
```

Calculated values
Formation energy = -178 meV/atom



Among the records above, which one has the lowest formation energy? Sr2SnPbAu6